Entry 1:
# IrPbW2 (PBE, relaxed)
data_IrPbW2
_symmetry_space_group_name_H-M 'P 4/m m m'
_symmetry_Int_Tables_number 123
_symmetry_space_group_name_Hall '-P 4 2'
_cell_length_a 4.877
_cell_length_b 4.877
_cell_length_c 2.944
_cell_angle_alpha 90.00
_cell_angle_beta 90.00
_cell_angle_gamma 90.00
loop_
_atom_site_label
_atom_site_fract_x
_atom_site_fract_y
_atom_site_fract_z
Ir1 0.000 0.000 0.000
Pb1 0.500 0.500 0.000
W1 0.000 0.500 0.500
# formation energy: 0.91 eV/atom
# calculated density: 18.19 g cm⁻³
# crystal system: tetragonal
# total magnetization: 0.0 μB/cell
# DOS at the Fermi energy: 4.761 states/eV/f.u.

Entry 2:
# YReSe2Br (PBE, relaxed)
data_YReSe2Br
_symmetry_space_group_name_H-M 'P 4/m m m'
_symmetry_Int_Tables_number 123
_symmetry_space_group_name_Hall '-P 4 2'
_cell_length_a 5.501
_cell_length_b 5.501
_cell_length_c 5.422
_cell_angle_alpha 90.00
_cell_angle_beta 90.00
_cell_angle_gamma 90.00
loop_
_atom_site_label
_atom_site_fract_x
_atom_site_fract_y
_atom_site_fract_z
Y1 0.000 0.000 0.000
Re1 0.500 0.500 0.500
Se1 0.000 0.500 0.000
Br1 0.000 0.000 0.500
# calculated density: 5.19 g cm⁻³
# crystal system: tetragonal
# total magnetization: 5.1 μB/cell
# raw formation energy: 0.442 eV/atom
# DOS at the Fermi energy: 2.755 states/eV/f.u.

Entry 3:
# TcHg2P (PBE, relaxed)
data_TcHg2P
_symmetry_space_group_name_H-M 'R -3 m'
_symmetry_Int_Tables_number 166
_symmetry_space_group_name_Hall '-R 3 2"'
_cell_length_a 3.0656
_cell_length_b 3.0656
_cell_length_c 27.7343
_cell_angle_alpha 90.00
_cell_angle_beta 90.00
_cell_angle_gamma 120.00
loop_
_atom_site_label
_atom_site_fract_x
_atom_site_fract_y
_atom_site_fract_z
Tc1 0.0000 0.0000 0.0000
Hg1 0.0000 0.0000 0.2513
P1 0.0000 0.0000 0.5000
# formation energy: 0.76 eV/atom
# calculated density: 11.70 g cm⁻³
# crystal system: trigonal
# total magnetization: 3.9 μB/cell
# DOS at the Fermi energy: 2.423 states/eV/f.u.

Entry 4:
# CoAgBr2 (PBE, relaxed)
data_CoAgBr2
_symmetry_space_group_name_H-M 'P 1 2/m 1'
_symmetry_Int_Tables_number 10
_cell_length_a 5.439
_cell_length_b 3.661
_cell_length_c 5.907
_cell_angle_alpha 90.00
_cell_angle_beta 97.99
_cell_angle_gamma 90.00
loop_
_symmetry_equiv_pos_as_xyz
'x,y,z'
'-x,-y,-z'
'-x,y,-z'
'x,-y,z'
loop_
_atom_site_label
_atom_site_fract_x
_atom_site_fract_y
_atom_site_fract_z
Co1 0.000 0.000 0.000
Ag1 0.500 0.000 0.000
Br1 0.209 0.500 0.243
# calculated density: 4.66 g cm⁻³
# crystal system: monoclinic
# total magnetization: 2.0 μB/cell
# raw formation energy: 0.064 eV/atom
# DOS at the Fermi energy: 1.924 states/eV/f.u.

Entry 5:
# P2SICl (PBE, relaxed)
data_P2SICl
_symmetry_space_group_name_H-M 'P 4/m m m'
_symmetry_Int_Tables_number 123
_symmetry_space_group_name_Hall '-P 4 2'
_cell_length_a 5.449
_cell_length_b 5.449
_cell_length_c 5.040
_cell_angle_alpha 90.00
_cell_angle_beta 90.00
_cell_angle_gamma 90.00
loop_
_atom_site_label
_atom_site_fract_x
_atom_site_fract_y
_atom_site_fract_z
P1 0.000 0.500 0.000
S1 0.000 0.000 0.500
I1 0.000 0.000 0.000
Cl1 0.500 0.500 0.500
# calculated density: 2.84 g cm⁻³
# crystal system: tetragonal
# total magnetization: 3.0 μB/cell
# raw formation energy: 1.426 eV/atom
# DOS at the Fermi energy: 5.662 states/eV/f.u.

Entry 6:
# Hf4TcIr3 (PBE, relaxed)
data_Hf4TcIr3
_symmetry_space_group_name_H-M 'F m m m'
_symmetry_Int_Tables_number 69
_symmetry_space_group_name_Hall '-F 2 2'
_cell_length_a 6.458
_cell_length_b 6.466
_cell_length_c 13.418
_cell_angle_alpha 90.00
_cell_angle_beta 90.00
_cell_angle_gamma 90.00
loop_
_atom_site_label
_atom_site_fract_x
_atom_site_fract_y
_atom_site_fract_z
Hf1 0.250 0.250 0.124
Tc1 0.000 0.000 0.000
Ir1 0.000 0.000 0.242
Ir2 0.000 0.000 0.500
# formation energy: -0.88 eV/atom
# calculated density: 16.46 g cm⁻³
# crystal system: orthorhombic
# total magnetization: 0.0 μB/cell
# DOS at the Fermi energy: 3.839 states/eV/f.u.